[1]
PmZnGa5: relaxed, PBE.

Summary:
E, eV per atom: -3.30
Volume, Å³/cell: 140.5
Calculated density, g cm⁻³: 6.6
DFT formation energy, eV per atom: -0.280
D(E_F), states/eV per cell: 2.219

The structure in POSCAR format:
```
PmZnGa5
1.0
4.527 0.000 0.000
0.000 4.527 0.000
0.000 0.000 6.854
Pm Zn Ga
1 1 5
Cartesian
0.000 0.000 0.000
0.000 0.000 3.427
0.000 2.264 2.067
0.000 2.264 4.788
2.264 0.000 2.067
2.264 0.000 4.788
2.264 2.264 0.000
```



[2]
La3Pr3Er: relaxed, PBE.

Summary:
E, eV per atom: -4.78
Volume, Å³/cell: 506.4
Polymorph energy (0 for the lowest one), meV per atom: 0
Calculated density, g cm⁻³: 6.6
DFT formation energy, eV per atom: 0.030
D(E_F), states/eV per cell: 23.789

The structure in POSCAR format:
```
La3Pr3Er
1.0
9.904 0.000 0.000
-4.952 8.577 0.000
0.000 0.000 5.961
La Pr Er
6 6 2
Cartesian
-3.523 6.904 1.490
0.734 2.074 1.490
2.163 0.401 4.471
2.789 8.176 1.490
4.218 6.503 4.471
8.475 1.673 4.471
-2.104 5.281 4.471
1.430 4.114 4.471
4.278 0.819 1.490
0.674 7.759 4.471
3.522 4.463 1.490
7.056 3.296 1.490
0.000 5.718 1.490
4.952 2.859 4.471
```



[3]
CaSe2Br: relaxed, PBE.

Summary:
E, eV per atom: -3.01
Volume, Å³/cell: 409.2
Polymorph energy (0 for the lowest one), meV per atom: 733
Calculated density, g cm⁻³: 4.5
Formation energy from raw total energies, eV/f.u.: -1.390
D(E_F), states/eV per cell: 25.140

The structure in POSCAR format:
```
CaSe2Br
1.0
7.424 0.000 0.000
0.000 7.424 0.000
0.000 0.000 7.424
Ca Se Br
4 8 4
Cartesian
0.000 0.000 0.000
0.000 3.712 3.712
3.712 0.000 3.712
3.712 3.712 0.000
1.856 1.856 1.856
1.856 1.856 5.568
1.856 5.568 1.856
1.856 5.568 5.568
5.568 1.856 1.856
5.568 1.856 5.568
5.568 5.568 1.856
5.568 5.568 5.568
0.000 0.000 3.712
0.000 3.712 0.000
3.712 0.000 0.000
3.712 3.712 3.712
```



[4]
Sr2CePaAs4: relaxed, PBE.

Summary:
E, eV per atom: -5.92
Volume, Å³/cell: 228.7
Calculated density, g cm⁻³: 6.1
DFT formation energy, eV per atom: -1.242
D(E_F), states/eV per cell: 7.526

The structure in POSCAR format:
```
Sr2CePaAs4
1.0
7.458 0.000 0.000
0.000 4.307 0.000
-2.477 0.000 7.120
Sr Ce Pa As
2 1 1 4
Cartesian
0.000 0.000 0.000
3.729 2.154 0.000
-1.238 2.154 3.560
2.491 0.000 3.560
0.088 0.000 5.129
1.314 2.154 2.009
3.667 2.154 5.111
4.893 0.000 1.991
```



[5]
Na5Si2Se5: relaxed, PBE.

Summary:
E, eV per atom: -3.61
Volume, Å³/cell: 303.4
Calculated density, g cm⁻³: 3.1
Formation energy from raw total energies, eV/f.u.: -8.428
D(E_F), states/eV per cell: 1.427

The structure in POSCAR format:
```
Na5Si2Se5
1.0
6.443 -2.201 0.000
6.443 2.201 0.000
-3.770 0.000 10.696
Na Si Se
5 2 5
Cartesian
0.000 0.000 0.000
-0.062 0.000 5.868
-0.078 0.000 9.186
9.195 0.000 1.510
9.179 0.000 4.828
3.083 0.000 7.530
6.034 0.000 3.166
0.855 0.000 3.061
4.687 0.000 1.250
4.558 0.000 5.348
4.430 0.000 9.445
8.262 0.000 7.635
```



[6]
YSi2Ru2: relaxed, PBE.

Summary:
E, eV per atom: -7.67
Volume, Å³/cell: 155.7
Calculated density, g cm⁻³: 7.4
Formation energy from raw total energies, eV/f.u.: -2.510
D(E_F), states/eV per cell: 6.975

The structure in POSCAR format:
```
YSi2Ru2
1.0
7.328 0.000 0.000
0.000 7.328 0.000
0.000 0.000 2.899
Y Si Ru
2 4 4
Cartesian
0.000 0.000 0.000
3.664 3.664 0.000
0.980 2.684 0.000
2.684 6.348 0.000
4.644 0.980 0.000
6.348 4.644 0.000
1.104 4.768 1.449
2.560 1.104 1.449
4.768 6.224 1.449
6.224 2.560 1.449
```